# CsC2Br

An optimized crystal structure of CsC2Br (PBE, Alexandria via LeMat-Bulk).

Results
Electronic total energy, eV per cell: -9.86
ρ, Mg/m³: 3.741

The structure in POSCAR format:
```
CsC2Br
1.0
0.0000 3.7458 3.7458
3.7458 0.0000 3.7458
3.7458 3.7458 0.0000
Cs C Br
1 2 1
direct
0.5000 0.5000 0.5000 Cs
0.2500 0.2500 0.2500 C
0.7500 0.7500 0.7500 C
0.0000 0.0000 0.0000 Br
```


# CsCBr2

An optimized crystal structure of CsCBr2 (PBE, Alexandria via LeMat-Bulk).

Results
Electronic total energy, eV per cell: -10.86
ρ, Mg/m³: 2.242

The structure in POSCAR format:
```
CsCBr2
1.0
3.3468 0.0000 7.7559
-1.6734 2.8984 7.7559
-1.6734 -2.8984 7.7559
Cs C Br
1 1 2
direct
0.5000 0.5000 0.5000 Cs
0.0000 0.0000 0.0000 C
0.0984 0.0984 0.0984 Br
0.9016 0.9016 0.9016 Br
```


# CsCBr2

An optimized crystal structure of CsCBr2 (PBE, Alexandria via LeMat-Bulk).

Results
Electronic total energy, eV per cell: -23.55
ρ, Mg/m³: 3.646

The structure in POSCAR format:
```
CsCBr2
1.0
7.2656 0.0000 0.0000
0.0000 7.2656 0.0000
3.6328 3.6328 5.2577
Cs C Br
2 2 4
direct
0.0000 0.0000 0.0000 Cs
0.7500 0.2500 0.5000 Cs
0.5000 0.5000 0.0000 C
0.2500 0.7500 0.5000 C
0.3754 0.1250 0.2500 Br
0.3746 0.6250 0.2500 Br
0.3750 0.6246 0.7500 Br
0.8750 0.6254 0.7500 Br
```


# Cs2CBr7

An optimized crystal structure of Cs2CBr7 (PBE, Alexandria via LeMat-Bulk).

Results
Electronic total energy, eV per cell: -24.92
ρ, Mg/m³: 4.366

The structure in POSCAR format:
```
Cs2CBr7
1.0
-2.8546 -3.4463 -6.3816
-0.0865 -6.8415 3.7333
-6.3467 -4.1770 0.3348
Cs C Br
2 1 7
direct
0.7500 0.2500 0.5000 Cs
0.2500 0.7500 0.5000 Cs
0.5000 0.5000 0.0000 C
0.0000 0.0000 0.0000 Br
0.2720 0.2720 0.4560 Br
0.7280 0.7280 0.5440 Br
0.2845 0.2845 0.0000 Br
0.7155 0.7155 0.0000 Br
0.7155 0.2845 0.0000 Br
0.2845 0.7155 0.0000 Br
```


- What is the electronic total energy in the first record?
  -9.86 eV per cell


- Among the records above, which one has the lowest ρ?
  number 2